Record 1
First-principles (GGA-PBE) data for HoInPd5 after structural relaxation, as listed in Alexandria.

Cell: 5.389 7.041 7.370 Å, 90.00 90.00 90.00°
Space group Imm2 (No. 44)
Unique sites:
Ho (0.000, 0.000, 0.000) (multiplicity 2)
In (0.000, 0.500, 0.843) (multiplicity 2)
Pd (0.000, 0.000, 0.347) (multiplicity 2)
Pd (0.000, 0.315, 0.517) (multiplicity 4)
Pd (0.243, 0.500, 0.185) (multiplicity 4)

VASP energy ... -70.7 eV/cell
Energy relative to the elements ... -0.2988 eV/atom

---

Record 2
First-principles (GGA-PBE) data for HoInPd after structural relaxation, as listed in Alexandria.

Cell: 4.631 9.630 5.894 Å, 90.00 90.00 90.00°
Space group Cmcm (No. 63)
Unique sites:
Ho (0.000, 0.194, 0.250) (multiplicity 4)
In (0.000, 0.500, 0.000) (multiplicity 4)
Pd (0.000, 0.113, 0.750) (multiplicity 4)

VASP energy ... -58.9 eV/cell
Energy relative to the elements ... -0.7360 eV/atom

---

Record 3
First-principles (GGA-PBE) data for Ho2InPd3 after structural relaxation, as listed in Alexandria.

Cell: 12.104 7.776 5.706 Å, 90.00 90.00 90.00°
Space group Cmcm (No. 63)
Unique sites:
Ho (0.168, 0.179, 0.250) (multiplicity 8)
In (0.000, 0.304, 0.750) (multiplicity 4)
Pd (0.000, 0.000, 0.000) (multiplicity 4)
Pd (0.156, 0.500, 0.000) (multiplicity 8)

VASP energy ... -127.4 eV/cell
Energy relative to the elements ... -0.7286 eV/atom

---

Record 4
First-principles (GGA-PBE) data for Ho4InPd after structural relaxation, as listed in Alexandria.

Cell: 13.688 13.688 13.688 Å, 90.00 90.00 90.00°
Space group F-43m (No. 216)
Unique sites:
Ho (0.000, 0.000, 0.186) (multiplicity 24)
Ho (0.061, 0.250, 0.750) (multiplicity 24)
Ho (0.103, 0.103, 0.397) (multiplicity 16)
In (0.167, 0.167, 0.167) (multiplicity 16)
Pd (0.106, 0.106, 0.606) (multiplicity 16)

Offset from the most stable computed form ... 0.0000 eV/atom
VASP energy ... -470.0 eV/cell
Energy relative to the elements ... -0.5221 eV/atom

---

Record 5
First-principles (GGA-PBE) data for HoInPd after structural relaxation, as listed in Alexandria.

Cell: 3.426 3.426 11.132 Å, 90.00 90.00 90.00°
Space group I4mm (No. 107)
Unique sites:
Ho (0.000, 0.000, 0.000) (multiplicity 2)
In (0.000, 0.000, 0.700) (multiplicity 2)
Pd (0.000, 0.000, 0.341) (multiplicity 2)

VASP energy ... -28.8 eV/cell
Energy relative to the elements ... -0.6329 eV/atom

---

Record 6
First-principles (GGA-PBE) data for Ho4InPd7 after structural relaxation, as listed in Alexandria.

Cell: 10.776 5.194 10.305 Å, 90.00 118.98 90.00°
Space group C2/m (No. 12)
Unique sites:
Ho (0.092, 0.000, 0.285) (multiplicity 4)
Ho (0.211, 0.500, 0.135) (multiplicity 4)
In (0.000, 0.500, 0.500) (multiplicity 2)
Pd (0.000, 0.000, 0.500) (multiplicity 2)
Pd (0.076, 0.500, 0.812) (multiplicity 4)
Pd (0.133, 0.000, 0.022) (multiplicity 4)
Pd (0.211, 0.500, 0.408) (multiplicity 4)

VASP energy ... -131.8 eV/cell
Energy relative to the elements ... -0.7077 eV/atom